#1
Computed, not measured: a geometry-optimized PrErPt2 structure at the PBE level of DFT.

Cell: 4.1450 4.1450 7.1143 Å, 73.06 73.06 60.00°
With the nearest neighbours (Å) after each atom.
Positions (direct):
Pt 0.7438 0.7438 0.7687  3 Er 2.85, 3 Pr 2.99
Er 0.0000 0.0000 0.0000  6 Pt 2.85
Pt 0.2562 0.2562 0.2313  3 Er 2.85, 3 Pr 2.99
Pr 0.5000 0.5000 0.5000  6 Pt 2.99

Calculated volume (Å³/f.u.): 99.69
N(E_F) (states/eV/atom): 0.547
Mass density (g/cm3): 11.63
Space-group type: R-3m (166)
Crystal system: trigonal

---

#2
Computed, not measured: a geometry-optimized PrErPt2 structure at the PBE level of DFT.

Cell: 4.0778 4.0778 7.3943 Å, 73.99 73.99 60.00°
With the nearest neighbours (Å) after each atom.
Positions (direct):
Er 0.6693 0.6693 0.9922  6 Pt 2.84-2.90
Pt 0.2550 0.2550 0.2349  3 Er 2.90, 3 Pr 3.04
Pr 0.4972 0.4972 0.5083  6 Pt 2.96-3.04
Pt 0.0785 0.0785 0.7646  3 Er 2.84, 3 Pr 2.96

Calculated volume (Å³/f.u.): 100.94
N(E_F) (states/eV/atom): 0.636
Mass density (g/cm3): 11.49
Space-group type: R3m (160)
Crystal system: trigonal

---

#3
Computed, not measured: a geometry-optimized PrErPt2 structure at the PBE level of DFT.

Cell: 3.8441 4.5307 5.6988 Å, 90.00 109.76 90.00°
With the nearest neighbours (Å) after each atom.
Positions (direct):
Pt 0.9938 0.0000 0.5265  3 Pr 2.92-3.11, 2 Pt 2.94, 4 Er 3.01
Pt 0.1686 0.5000 0.8763  2 Pt 2.94, 3 Er 2.98-3.06, 4 Pr 3.02-3.03
Pr 0.7217 0.0000 0.9824  7 Pt 2.92-3.11
Er 0.4469 0.5000 0.4328  7 Pt 2.98-3.06

Calculated volume (Å³/f.u.): 93.41
N(E_F) (states/eV/atom): 0.622
Mass density (g/cm3): 12.41
Space-group type: Amm2 (38)
Crystal system: orthorhombic

---

Which structure is the most stable? The one labeled #3.

---

#1
Computed, not measured: a geometry-optimized PrErPt2 structure at the PBE level of DFT.

Cell: 5.0293 5.0293 5.0293 Å, 60.00 60.00 60.00°
With the nearest neighbours (Å) after each atom.
Positions (direct):
Pr 0.5000 0.5000 0.5000  8 Pt 3.08
Er 0.0000 0.0000 0.0000  8 Pt 3.08
Pt 0.2500 0.2500 0.2500  4 Er 3.08, 4 Pr 3.08
Pt 0.7500 0.7500 0.7500  4 Er 3.08, 4 Pr 3.08

Calculated volume (Å³/f.u.): 89.95
N(E_F) (states/eV/atom): 0.858
Mass density (g/cm3): 12.89
Space-group type: Fm-3m (225)
Crystal system: cubic

---

#2
Computed, not measured: a geometry-optimized PrErPt2 structure at the PBE level of DFT.

Cell: 3.5272 3.5272 7.1811 Å, 90.00 90.00 90.00°
With the nearest neighbours (Å) after each atom.
Positions (direct):
Er 0.5000 0.5000 0.0000  8 Pt 2.97
Pt 0.0000 0.0000 0.2256  4 Er 2.97, 4 Pr 3.18, 1 Pt 3.24
Pr 0.5000 0.5000 0.5000  8 Pt 3.18, 4 Pr 3.53
Pt 0.0000 0.0000 0.7744  4 Er 2.97, 4 Pr 3.18, 1 Pt 3.24

Calculated volume (Å³/f.u.): 89.34
N(E_F) (states/eV/atom): 0.766
Mass density (g/cm3): 12.98
Space-group type: P4/mmm (123)
Crystal system: tetragonal

---

Which structure is the most stable? The one labeled #2.

---

#1
Computed, not measured: a geometry-optimized PrEr2Pt structure at the PBE level of DFT.

Cell: 3.9575 3.9575 9.2906 Å, 77.70 77.70 60.00°
With the nearest neighbours (Å) after each atom.
Positions (direct):
Er 0.0580 0.0580 0.8261  3 Pt 2.79
Er 0.2744 0.2744 0.1769  3 Pt 2.77
Pt 0.6656 0.6656 0.0032  6 Er 2.77-2.79
Pr 0.5020 0.5020 0.4938  6 Er 3.66-3.76, 6 Pr 3.96

Calculated volume (Å³/f.u.): 122.14
N(E_F) (states/eV/atom): 0.981
Mass density (g/cm3): 9.12
Space-group type: R3m (160)
Crystal system: trigonal

---

#2
Computed, not measured: a geometry-optimized PrEr2Pt structure at the PBE level of DFT.

Cell: 3.8201 6.6110 9.0870 Å, 90.00 90.00 106.89°
With the nearest neighbours (Å) after each atom.
Positions (direct):
Pr 0.9407 0.8827 0.2500  2 Pt 3.19-3.20, 4 Er 3.56-3.57
Er 0.6410 0.2817 0.0608  2 Pt 2.85
Pt 0.2393 0.4774 0.2500  4 Er 2.85, 1 Pr 3.19
Er 0.3590 0.7183 0.9392  2 Pt 2.85
Pt 0.7607 0.5226 0.7500  4 Er 2.85, 1 Pr 3.19
Er 0.6410 0.2817 0.4392  2 Pt 2.85
Pr 0.0593 0.1173 0.7500  2 Pt 3.19-3.20, 4 Er 3.56-3.57
Er 0.3590 0.7183 0.5608  2 Pt 2.85

Calculated volume (Å³/f.u.): 109.80
N(E_F) (states/eV/atom): 1.057
Mass density (g/cm3): 10.14
Space-group type: P2_1/m (11)
Crystal system: monoclinic

---

#3
Computed, not measured: a geometry-optimized PrEr2Pt structure at the PBE level of DFT.

Cell: 3.5467 3.5467 8.6545 Å, 90.00 90.00 90.00°
With the nearest neighbours (Å) after each atom.
Positions (direct):
Er 0.0000 0.0000 0.8129  4 Pt 2.99, 1 Er 3.24
Er 0.0000 0.0000 0.1871  4 Pt 2.99, 1 Er 3.24
Pr 0.5000 0.5000 0.5000  4 Pr 3.55, 8 Er 3.69
Pt 0.5000 0.5000 0.0000  8 Er 2.99

Calculated volume (Å³/f.u.): 108.86
N(E_F) (states/eV/atom): 0.924
Mass density (g/cm3): 10.23
Space-group type: P4/mmm (123)
Crystal system: tetragonal

---

Which structure is the most stable? The one labeled #2.

---

#1
Computed, not measured: a geometry-optimized Pr2ErPt2 structure at the PBE level of DFT.

Cell: 6.2967 8.1217 7.5198 Å, 122.68 114.75 90.00°
With the nearest neighbours (Å) after each atom.
Positions (direct):
Pt 0.8989 0.1351 0.7978  3 Pr 2.88-3.09, 2 Er 2.88
Pr 0.1543 0.2914 0.3085  3 Pt 2.88-3.09
Pt 0.6011 0.3373 0.2022  3 Pr 2.88-3.09, 2 Er 2.88
Pr 0.8457 0.7086 0.6915  3 Pt 2.88-3.09
Pr 0.3457 0.9828 0.6915  3 Pt 2.88-3.09
Er 0.7500 0.5000 0.0000  4 Pt 2.88, 2 Er 3.15
Pr 0.6543 0.0172 0.3085  3 Pt 2.88-3.09
Er 0.2500 0.5000 0.0000  4 Pt 2.88, 2 Er 3.15
Pt 0.1011 0.8649 0.2022  3 Pr 2.88-3.09, 2 Er 2.88
Pt 0.3989 0.6627 0.7978  3 Pr 2.88-3.09, 2 Er 2.88

Calculated volume (Å³/f.u.): 140.39
N(E_F) (states/eV/atom): 0.848
Mass density (g/cm3): 9.93
Space-group type: Ibam (72)
Crystal system: orthorhombic

---

#2
Computed, not measured: a geometry-optimized Pr2ErPt2 structure at the PBE level of DFT.

Cell: 4.0316 6.2161 6.2161 Å, 66.19 71.08 71.08°
With the nearest neighbours (Å) after each atom.
Positions (direct):
Pt 0.5000 0.2882 0.7118  2 Er 2.81, 1 Pt 2.88, 4 Pr 3.09
Er 0.0000 0.0000 0.0000  4 Pt 2.81
Pr 0.1933 0.3067 0.3067  4 Pt 3.09
Pr 0.8067 0.6933 0.6933  4 Pt 3.09
Pt 0.5000 0.7118 0.2882  2 Er 2.81, 1 Pt 2.88, 4 Pr 3.09

Calculated volume (Å³/f.u.): 131.41
N(E_F) (states/eV/atom): 0.801
Mass density (g/cm3): 10.60
Space-group type: Immm (71)
Crystal system: orthorhombic

---

Which structure is the most stable? The one labeled #2.

---

#1
Computed, not measured: a geometry-optimized PrEr3Pt2 structure at the PBE level of DFT.

Cell: 4.7773 7.1792 8.8461 Å, 90.00 90.00 90.00°
With the nearest neighbours (Å) after each atom.
Positions (direct):
Er 0.0000 0.8580 0.6777  4 Pt 2.83-3.13
Pr 0.5000 0.0090 0.4206  3 Pt 2.93-3.12
Pr 0.5000 0.5090 0.5794  3 Pt 2.93-3.12
Er 0.0000 0.3580 0.3223  4 Pt 2.83-3.13
Pt 0.0000 0.2514 0.6654  5 Er 2.83-3.13, 2 Pr 3.12
Er 0.5000 0.6442 0.1648  4 Pt 2.85-2.92
Pt 0.5000 0.7480 0.8486  6 Er 2.85-3.09, 1 Pr 2.93
Er 0.5000 0.1442 0.8352  4 Pt 2.85-2.92
Er 0.0000 0.4893 0.9219  3 Pt 2.84-3.09
Pt 0.0000 0.7514 0.3346  5 Er 2.83-3.13, 2 Pr 3.12
Pt 0.5000 0.2480 0.1514  6 Er 2.85-3.09, 1 Pr 2.93
Er 0.0000 0.9893 0.0781  3 Pt 2.84-3.09

Calculated volume (Å³/f.u.): 151.70
N(E_F) (states/eV/atom): 0.931
Mass density (g/cm3): 11.31
Space-group type: Pmc2_1 (26)
Crystal system: orthorhombic

---

#2
Computed, not measured: a geometry-optimized PrEr3Pt2 structure at the PBE level of DFT.

Cell: 5.0476 9.3980 8.2985 Å, 123.02 90.00 105.58°
With the nearest neighbours (Å) after each atom.
Positions (direct):
Pt 0.4981 0.9963 0.8335  1 Pt 2.73, 4 Er 2.77-2.86
Er 0.9416 0.8833 0.6380  3 Pt 2.81-2.86
Er 0.6129 0.2258 0.7096  3 Pt 2.79-2.91
Er 0.0584 0.1167 0.3620  3 Pt 2.81-2.86
Er 0.6874 0.3748 0.3817  2 Pt 2.77-2.80
Pr 0.1605 0.3210 0.0593  3 Pt 3.01-3.24
Er 0.3126 0.6252 0.6183  2 Pt 2.77-2.80
Pt 0.7969 0.5937 0.2425  4 Er 2.80-2.91, 1 Pr 3.01
Pt 0.5019 0.0037 0.1665  1 Pt 2.73, 4 Er 2.77-2.86
Pt 0.2031 0.4063 0.7575  4 Er 2.80-2.91, 1 Pr 3.01
Er 0.3871 0.7742 0.2904  3 Pt 2.79-2.91
Pr 0.8395 0.6790 0.9407  3 Pt 3.01-3.24

Calculated volume (Å³/f.u.): 156.34
N(E_F) (states/eV/atom): 0.846
Mass density (g/cm3): 10.97
Space-group type: C2/m (12)
Crystal system: monoclinic

---

Which structure is the most stable? The one labeled #1.

---

#1
Computed, not measured: a geometry-optimized PrErZnPt structure at the PBE level of DFT.

Cell: 3.9087 4.4213 5.8651 Å, 90.00 109.46 90.00°
With the nearest neighbours (Å) after each atom.
Positions (direct):
Pr 0.1448 0.0000 0.2895  4 Zn 3.06, 3 Pt 3.07-3.14
Pt 0.4222 0.0000 0.8444  2 Zn 2.76, 4 Er 3.02, 1 Pr 3.07
Er 0.8622 0.5000 0.7245  3 Zn 3.02-3.22, 4 Pt 3.02
Zn 0.5708 0.5000 0.1417  2 Pt 2.76, 2 Er 3.02, 4 Pr 3.06

Calculated volume (Å³/f.u.): 95.57
N(E_F) (states/eV/atom): 0.840
Mass density (g/cm3): 9.88
Space-group type: Amm2 (38)
Crystal system: orthorhombic

---

#2
Computed, not measured: a geometry-optimized PrErZnPt structure at the PBE level of DFT.

Cell: 5.0715 5.0715 5.0715 Å, 60.00 60.00 60.00°
With the nearest neighbours (Å) after each atom.
Positions (direct):
Pt 0.7500 0.7500 0.7500  4 Pr 3.11, 4 Er 3.11
Pr 0.0000 0.0000 0.0000  4 Pt 3.11, 4 Zn 3.11
Zn 0.2500 0.2500 0.2500  4 Pr 3.11, 4 Er 3.11
Er 0.5000 0.5000 0.5000  4 Pt 3.11, 4 Zn 3.11

Calculated volume (Å³/f.u.): 92.24
N(E_F) (states/eV/atom): 0.789
Mass density (g/cm3): 10.24
Space-group type: F-43m (216)
Crystal system: cubic

---

Which structure is the most stable? The one labeled #1.

---

#1
Computed, not measured: a geometry-optimized PrErPu structure at the PBE level of DFT.

Cell: 3.5495 3.5495 7.8842 Å, 103.01 103.01 90.00°
With the nearest neighbours (Å) after each atom.
Positions (direct):
Pu 0.0029 0.0029 0.0057  4 Er 3.46, 4 Pr 3.55, 4 Pu 3.55
Pr 0.3353 0.3353 0.6706  4 Pu 3.55, 4 Pr 3.55, 4 Er 3.61
Er 0.6619 0.6619 0.3237  4 Pu 3.46, 4 Er 3.55, 4 Pr 3.61

Calculated volume (Å³/f.u.): 94.16
N(E_F) (states/eV/atom): 2.298
Mass density (g/cm3): 9.74
Space-group type: I4mm (107)
Crystal system: tetragonal

---

#2
Computed, not measured: a geometry-optimized PrErPu structure at the PBE level of DFT.

Cell: 3.5645 3.5645 8.6146 Å, 90.00 90.00 120.00°
With the nearest neighbours (Å) after each atom.
Positions (direct):
Pr 0.0000 0.0000 0.0016  3 Pu 3.56, 6 Pr 3.56, 3 Er 3.59
Er 0.3333 0.6667 0.6601  3 Pu 3.45, 6 Er 3.56, 3 Pr 3.59
Pu 0.6667 0.3333 0.3383  3 Er 3.45, 3 Pr 3.56, 6 Pu 3.56

Calculated volume (Å³/f.u.): 94.79
N(E_F) (states/eV/atom): 2.840
Mass density (g/cm3): 9.67
Space-group type: P3m1 (156)
Crystal system: trigonal

---

#3
Computed, not measured: a geometry-optimized PrErPu structure at the PBE level of DFT.

Cell: 3.5787 8.6955 6.6487 Å, 111.78 74.39 78.14°
With the nearest neighbours (Å) after each atom.
Positions (direct):
Pr 0.2057 0.7720 0.8168  4 Pu 3.44-3.66, 3 Pr 3.51-3.58, 5 Er 3.58-3.66
Pu 0.3267 0.9720 0.3746  2 Pu 2.31
Er 0.9389 0.3843 0.7371  3 Pu 3.21-3.31, 4 Er 3.52-3.58, 2 Pr 3.58
Er 0.0611 0.6157 0.2629  3 Pu 3.21-3.31, 4 Er 3.52-3.58, 2 Pr 3.58
Pu 0.6733 0.0280 0.6254  2 Pu 2.31
Pr 0.7943 0.2280 0.1832  4 Pu 3.44-3.66, 3 Pr 3.51-3.58, 5 Er 3.58-3.66

Calculated volume (Å³/f.u.): 86.96
N(E_F) (states/eV/atom): 2.003
Mass density (g/cm3): 10.54
Space-group type: C2/m (12)
Crystal system: monoclinic

---

Which structure is the most stable? The one labeled #1.

---

#1
Computed, not measured: a geometry-optimized Pr2ErPu structure at the PBE level of DFT.

Cell: 3.6115 3.6115 11.8059 Å, 81.20 81.20 60.00°
With the nearest neighbours (Å) after each atom.
Positions (direct):
Pr 0.0828 0.0828 0.7517  3 Pu 3.55, 3 Er 3.59, 6 Pr 3.61
Pu 0.6669 0.6669 0.9992  6 Pr 3.55-3.57, 6 Pu 3.61
Pr 0.2504 0.2504 0.2488  3 Pu 3.57, 3 Er 3.59, 6 Pr 3.61
Er 0.4999 0.4999 0.5003  6 Pr 3.59, 6 Er 3.61

Calculated volume (Å³/f.u.): 131.26
N(E_F) (states/eV/atom): 2.950
Mass density (g/cm3): 8.77
Space-group type: R3m (160)
Crystal system: trigonal

---

#2
Computed, not measured: a geometry-optimized Pr2ErPu structure at the PBE level of DFT.

Cell: 3.5835 3.5835 10.1967 Å, 90.00 90.00 90.00°
With the nearest neighbours (Å) after each atom.
Positions (direct):
Pr 0.0000 0.0000 0.7480  4 Pu 3.58, 4 Pr 3.58, 4 Er 3.61
Pu 0.5000 0.5000 0.5000  8 Pr 3.58, 4 Pu 3.58
Pr 0.0000 0.0000 0.2520  4 Pu 3.58, 4 Pr 3.58, 4 Er 3.61
Er 0.5000 0.5000 0.0000  4 Er 3.58, 8 Pr 3.61

Calculated volume (Å³/f.u.): 130.94
N(E_F) (states/eV/atom): 2.299
Mass density (g/cm3): 8.79
Space-group type: P4/mmm (123)
Crystal system: tetragonal

---

Which structure is the most stable? The one labeled #2.